(1)
VASP calculation (GGA-PBE) on a geometry-optimized Nd5In5Ag2 structure.

a b c (Å): 6.1694 6.1694 12.8461
angles (deg): 112.63 112.63 47.86
Sites, in units of the cell vectors:
Nd 0.0000 0.0000 0.0000
Nd 0.3242 0.3242 0.2555
Nd 0.3482 0.3482 0.5675
Nd 0.6518 0.6518 0.4325
Nd 0.6758 0.6758 0.7445
In 0.0000 0.0000 0.5000
In 0.0303 0.0303 0.2651
In 0.2745 0.2745 0.9505
In 0.7255 0.7255 0.0495
In 0.9697 0.9697 0.7349
Ag 0.4373 0.4373 0.8344
Ag 0.5627 0.5627 0.1656

Values from the calculation:
crystal system: monoclinic
formation energy: -0.375 eV/atom

=====

(2)
VASP calculation (GGA-PBE) on a geometry-optimized Nd4InAg structure.

a b c (Å): 3.7627 3.7627 13.0430
angles (deg): 90.00 90.00 90.00
Sites, in units of the cell vectors:
Nd 0.0000 0.0000 0.1444
Nd 0.0000 0.0000 0.8556
Nd 0.5000 0.5000 0.3424
Nd 0.5000 0.5000 0.6576
In 0.0000 0.0000 0.5000
Ag 0.5000 0.5000 0.0000

Values from the calculation:
crystal system: tetragonal
energy relative to the lowest polymorph listed for this composition: 0 kJ/mol of formula units
formation energy: -0.217 eV/atom

=====

(3)
VASP calculation (GGA-PBE) on a geometry-optimized Nd5In4Ag structure.

a b c (Å): 3.6943 3.6943 20.8825
angles (deg): 90.00 90.00 90.00
Sites, in units of the cell vectors:
Nd 0.0000 0.0000 0.0000
Nd 0.0000 0.0000 0.2035
Nd 0.0000 0.0000 0.4064
Nd 0.0000 0.0000 0.5936
Nd 0.0000 0.0000 0.7965
In 0.5000 0.5000 0.1021
In 0.5000 0.5000 0.3073
In 0.5000 0.5000 0.6927
In 0.5000 0.5000 0.8979
Ag 0.5000 0.5000 0.5000

Values from the calculation:
crystal system: tetragonal
formation energy: -0.451 eV/atom

=====

(4)
VASP calculation (GGA-PBE) on a geometry-optimized Nd2In8Ag structure.

a b c (Å): 4.7951 4.7951 12.3815
angles (deg): 90.00 90.00 90.00
Sites, in units of the cell vectors:
Nd 0.0000 0.0000 0.1885
Nd 0.0000 0.0000 0.8115
In 0.0000 0.5000 0.0000
In 0.0000 0.5000 0.3706
In 0.0000 0.5000 0.6294
In 0.5000 0.0000 0.0000
In 0.5000 0.0000 0.3706
In 0.5000 0.0000 0.6294
In 0.5000 0.5000 0.1892
In 0.5000 0.5000 0.8108
Ag 0.0000 0.0000 0.5000

Values from the calculation:
crystal system: tetragonal
formation energy: -0.332 eV/atom

=====

(5)
VASP calculation (GGA-PBE) on a geometry-optimized Nd6InAg5 structure.

a b c (Å): 5.3166 7.6340 8.4074
angles (deg): 90.00 108.31 90.00
Sites, in units of the cell vectors:
Nd 0.0000 0.2413 0.0000
Nd 0.0000 0.7587 0.0000
Nd 0.3313 0.2488 0.6609
Nd 0.3313 0.7512 0.6609
Nd 0.6687 0.2488 0.3391
Nd 0.6687 0.7512 0.3391
In 0.5000 0.5000 0.0000
Ag 0.1579 0.5000 0.3191
Ag 0.1649 0.0000 0.3330
Ag 0.5000 0.0000 0.0000
Ag 0.8351 0.0000 0.6670
Ag 0.8421 0.5000 0.6809

Values from the calculation:
crystal system: monoclinic
formation energy: -0.293 eV/atom

=====

(6)
VASP calculation (GGA-PBE) on a geometry-optimized Nd2InAg structure.

a b c (Å): 9.7954 9.7954 9.7954
angles (deg): 22.41 22.41 22.41
Sites, in units of the cell vectors:
Nd 0.2474 0.2474 0.2474
Nd 0.7526 0.7526 0.7526
In 0.0000 0.0000 0.0000
Ag 0.5000 0.5000 0.5000

Values from the calculation:
crystal system: trigonal
formation energy: -0.159 eV/atom